Compound: Ga2NiSbO6
Source: Alexandria via LeMat-Bulk
Functional: GGA+U
Structure: relaxed

Results
Energy = -5.7526 eV/atom
Fermi-level density of states = 0.31 states/eV per atom

Cell: 5.413 6.761 6.761 Å, 84.15 82.04 82.04°
Last column: magnetic moment on the atom in μB.
Fractional positions:
1 O 0.612 0.131 0.639  0.03
2 Ga 0.792 0.203 0.396  0.01
3 Ga 0.292 0.396 0.203  0.01
4 O 0.112 0.639 0.131  0.03
5 Sb 0.250 0.273 0.727  -0.01
6 Ga 0.708 0.604 0.797  0.01
7 O 0.397 0.568 0.719  0.00
8 Ni 0.750 0.088 0.912  1.78
9 O 0.897 0.719 0.568  0.00
10 Ni 0.250 0.912 0.088  1.78
11 O 0.628 0.797 0.987  0.05
12 O 0.872 0.013 0.203  0.05
13 Ga 0.208 0.797 0.604  0.01
14 O 0.388 0.869 0.361  0.03
15 O 0.603 0.432 0.281  0.00
16 O 0.888 0.361 0.869  0.03
17 Sb 0.750 0.727 0.273  -0.01
18 O 0.128 0.987 0.797  0.05
19 O 0.372 0.203 0.013  0.05
20 O 0.103 0.281 0.432  0.00